Hf2RhN | PBE | relaxed

Structure (POSCAR):
```
Hf2RhN
1.0
3.415 -0.010 -0.007
-1.699 2.934 -0.412
0.011 -1.005 6.977
Hf Rh N
2 1 1
direct
0.630 0.285 0.064
0.445 0.913 0.505
0.861 0.746 0.756
0.341 0.705 0.194
```

Results
Energy   -9.835 eV/atom

HfRh2N | PBE | relaxed

Structure (POSCAR):
```
HfRh2N
1.0
-0.401 -3.324 -4.381
4.857 -2.274 1.281
0.148 -5.836 0.945
Rh Hf N
4 2 2
direct
0.519 0.125 0.250
0.231 0.625 0.250
0.375 0.481 0.750
0.875 0.769 0.750
0.000 0.000 0.000
0.750 0.250 0.500
0.500 0.500 0.000
0.250 0.750 0.500
```

Results
Energy   -8.245 eV/atom

HfRh2N2 | PBE | relaxed

Structure (POSCAR):
```
HfRh2N2
1.0
-5.869 0.553 -0.589
-0.807 -4.187 4.113
-0.021 2.707 2.752
Rh Hf N
4 2 4
direct
0.161 0.661 0.500
0.661 0.839 0.500
0.839 0.339 0.500
0.339 0.161 0.500
0.000 0.000 0.000
0.500 0.500 0.000
0.174 0.674 0.000
0.674 0.826 0.000
0.826 0.326 0.000
0.326 0.174 0.000
```

Results
Energy   -8.605 eV/atom

Hf8RhN2 | PBE | relaxed

Structure (POSCAR):
```
Hf8RhN2
1.0
-2.897 3.053 1.560
-0.079 -2.893 6.472
5.027 3.377 3.686
Hf Rh N
8 1 2
direct
0.737 0.104 0.669
0.263 0.331 0.896
0.766 0.218 0.218
0.234 0.782 0.782
0.737 0.669 0.104
0.263 0.896 0.331
0.256 0.405 0.405
0.744 0.595 0.595
0.000 0.000 0.000
0.290 0.214 0.214
0.710 0.786 0.786
```

Results
Energy   -9.759 eV/atom